Entry 1:
This record from the Alexandria database describes an optimized crystal structure of Ba2VN3. The functional is PBE.

Values from the calculation:
Symmetry: Cmce (64)
Formation energy from raw total energies, eV/atom: -1.043
Volume, Å³/f.u.: 114.0

a = 6.574 Å, b = 6.574 Å, c = 13.087 Å
α = 90.00°, β = 90.00°, γ = 126.31°
Element x y z (fractional)
Ba 0.358 0.642 0.078
Ba 0.556 0.444 0.355
N 0.167 0.833 0.943
N 0.524 0.976 0.250
V 0.256 0.744 0.832
Ba 0.444 0.556 0.645
V 0.744 0.256 0.168
Ba 0.642 0.358 0.922
Ba 0.944 0.056 0.855
N 0.095 0.905 0.367
N 0.405 0.595 0.867
N 0.333 0.667 0.443
N 0.595 0.405 0.133
N 0.476 0.024 0.750
N 0.024 0.476 0.250
Ba 0.056 0.944 0.145
Ba 0.858 0.142 0.422
V 0.756 0.244 0.668
Ba 0.142 0.858 0.578
V 0.244 0.756 0.332
N 0.833 0.167 0.057
N 0.667 0.333 0.557
N 0.905 0.095 0.633
N 0.976 0.524 0.750


Entry 2:
This record from the Alexandria database describes an optimized crystal structure of RbCaTc2O8. The functional is PBE.

Values from the calculation:
Symmetry: P-3m1 (164)
Formation energy from raw total energies, eV/atom: -1.844
Volume, Å³/f.u.: 252.5
Fermi-level density of states, states/eV/cell: 7.056

a = 6.040 Å, b = 6.040 Å, c = 7.992 Å
α = 90.00°, β = 90.00°, γ = 120.00°
Last column: magnetic moment on the atom in μB.
Element x y z (fractional)
O 0.653 0.826 0.684  0.03
O 0.667 0.333 0.026  0.04
O 0.174 0.827 0.684  0.03
O 0.173 0.347 0.684  0.03
O 0.347 0.174 0.316  0.03
Tc 0.333 0.667 0.756  0.34
Ca 0.000 0.000 0.500  0.01
Rb 0.000 0.000 0.000  0.00
Tc 0.667 0.333 0.244  0.34
O 0.827 0.653 0.316  0.03
O 0.826 0.173 0.316  0.03
O 0.333 0.667 0.974  0.04


Entry 3:
This record from the Alexandria database describes an optimized crystal structure of Er2LuPa. The functional is PBE.

Values from the calculation:
Energy relative to the elements, kcal/mol of atoms: 2.8
Symmetry: P4/mmm (123)
Energy above the lowest structure with this stoichiometry, eV per atom: 0.000
Volume, Å³/f.u.: 114.9
Fermi-level density of states, states/eV/cell: 6.040

a = 3.385 Å, b = 3.385 Å, c = 10.024 Å
α = 90.00°, β = 90.00°, γ = 90.00°
Last column: magnetic moment on the atom in μB.
Element x y z (fractional)
Lu 0.500 0.500 0.500  0.01
Er 0.000 0.000 0.763  0.00
Pa 0.500 0.500 0.000  -0.10
Er 0.000 0.000 0.237  0.00


Entry 4:
This record from the Alexandria database describes an optimized crystal structure of LiNi2Pb2. The functional is PBE.

Values from the calculation:
Energy relative to the elements, kcal/mol of atoms: 1.7
Symmetry: I4/mmm (139)
Energy above the lowest structure with this stoichiometry, eV per atom: 0.033
Volume, Å³/f.u.: 99.4
Fermi-level density of states, states/eV/cell: 2.481

a = 3.543 Å, b = 3.543 Å, c = 8.310 Å
α = 77.69°, β = 77.69°, γ = 90.00°
Element x y z (fractional)
Pb 0.622 0.622 0.757
Ni 0.750 0.250 0.500
Pb 0.378 0.378 0.243
Li 0.000 0.000 0.000
Ni 0.250 0.750 0.500


Entry 5:
This record from the Alexandria database describes an optimized crystal structure of KCu2F4. The functional is PBE.

Values from the calculation:
Symmetry: I4/mmm (139)
Energy above the lowest structure with this stoichiometry, eV per atom: 0.277
Formation energy from raw total energies, eV/atom: -1.530
Volume, Å³/f.u.: 131.3
Fermi-level density of states, states/eV/cell: 10.009

a = 5.723 Å, b = 5.723 Å, c = 5.723 Å
α = 100.63°, β = 100.63°, γ = 129.13°
Last column: magnetic moment on the atom in μB.
Element x y z (fractional)
F 0.500 0.784 0.284  0.05
F 0.216 0.500 0.716  0.05
K 0.000 0.000 0.000  0.00
Cu 0.750 0.250 0.500  0.41
F 0.500 0.216 0.716  0.05
F 0.784 0.500 0.284  0.05
Cu 0.250 0.750 0.500  0.41


Entry 6:
This record from the Alexandria database describes an optimized crystal structure of ScTc2. The functional is PBE.

Values from the calculation:
Energy relative to the elements, kcal/mol of atoms: 6.0
Symmetry: P4/mmm (123)
Energy above the lowest structure with this stoichiometry, eV per atom: 0.562
Volume, Å³/f.u.: 58.2
Fermi-level density of states, states/eV/cell: 1.555

a = 3.530 Å, b = 3.530 Å, c = 4.668 Å
α = 90.00°, β = 90.00°, γ = 90.00°
Element x y z (fractional)
Tc 0.500 0.000 0.500
Tc 0.000 0.500 0.500
Sc 0.000 0.000 0.000